(1)
## AlAgCl (PBE)

Data for AlAgCl after structural relaxation.

Cell lengths 4.8393, 4.8393, 2.9278 Å; angles 90.00, 90.00, 120.00 degrees
With the nearest neighbours (Å) after each atom.
Fractional coordinates of all 3 atoms:
Al1 0.0000 0.0000 0.0000  3 Cl 2.79, 2 Al 2.93
Ag1 0.3333 0.6667 0.5025  2 Ag 2.93, 6 Cl 3.15-3.16, 6 Al 3.15-3.16
Cl1 0.6667 0.3333 0.9980  3 Al 2.79, 2 Cl 2.93

**ΔE to the lowest computed polymorph**: 371 meV per atom

(2)
## AlAgCl4 (PBE)

Data for AlAgCl4 after structural relaxation.

Cell lengths 6.0731, 6.0731, 10.3864 Å; angles 90.00, 90.00, 90.00 degrees
With the nearest neighbours (Å) after each atom.
Fractional coordinates of all 12 atoms:
Al1 0.0000 0.5000 0.2500  4 Cl 2.17
Al2 0.5000 0.0000 0.7500  4 Cl 2.17
Ag1 0.0000 0.0000 0.0000  4 Cl 2.62
Ag2 0.0000 0.0000 0.5000  4 Cl 2.62
Cl1 0.2149 0.2980 0.3671  1 Al 2.17
Cl2 0.2149 0.7020 0.1329  1 Al 2.17
Cl3 0.2980 0.2149 0.8671  1 Al 2.17
Cl4 0.2980 0.7851 0.6329  1 Al 2.17
Cl5 0.7020 0.2149 0.6329  1 Al 2.17
Cl6 0.7020 0.7851 0.8671  1 Al 2.17
Cl7 0.7851 0.2980 0.1329  1 Al 2.17
Cl8 0.7851 0.7020 0.3671  1 Al 2.17

**ΔE to the lowest computed polymorph**: 0 meV per atom

(3)
## AlAgCl (PBE)

Data for AlAgCl after structural relaxation.

Cell lengths 3.3732, 3.3732, 6.4820 Å; angles 90.00, 90.00, 120.00 degrees
With the nearest neighbours (Å) after each atom.
Fractional coordinates of all 3 atoms:
Al1 0.0000 0.0000 0.0000  3 Cl 2.58, 3 Ag 2.59
Ag1 0.3333 0.6667 0.7368  3 Al 2.59
Cl1 0.6667 0.3333 0.2601  3 Al 2.58

**ΔE to the lowest computed polymorph**: 0 meV per atom

(4)
## AlAg2Cl (PBE)

Data for AlAg2Cl after structural relaxation.

Cell lengths 6.8056, 6.8056, 4.4444 Å; angles 90.38, 90.38, 26.31 degrees
With the nearest neighbours (Å) after each atom.
Fractional coordinates of all 4 atoms:
Al1 0.0000 0.0000 0.0000  2 Cl 2.56, 6 Ag 2.72-2.75
Ag1 0.5347 0.5347 0.5005  4 Al 2.75, 2 Ag 2.84
Ag2 0.6683 0.6683 0.0030  2 Al 2.72, 2 Cl 2.82, 2 Ag 2.84
Cl1 0.3462 0.3462 0.9955  2 Al 2.56, 2 Ag 2.82

**ΔE to the lowest computed polymorph**: 94 meV per atom

(5)
## AlAg2Cl (PBE)

Data for AlAg2Cl after structural relaxation.

Cell lengths 5.6089, 5.6089, 5.2617 Å; angles 117.20, 117.20, 32.09 degrees
With the nearest neighbours (Å) after each atom.
Fractional coordinates of all 4 atoms:
Al1 0.0000 0.0000 0.0000  4 Ag 2.68
Ag1 0.2699 0.2699 0.7717  2 Al 2.68, 2 Cl 2.99
Ag2 0.7301 0.7301 0.2283  2 Al 2.68, 2 Cl 2.99
Cl1 0.5000 0.5000 0.5000  4 Ag 2.99, 4 Al 3.05, 2 Cl 3.10

**ΔE to the lowest computed polymorph**: 169 meV per atom

(6)
## Al2AgCl6 (PBE)

Data for Al2AgCl6 after structural relaxation.

Cell lengths 6.5784, 6.5784, 10.4984 Å; angles 95.51, 95.51, 36.98 degrees
With the nearest neighbours (Å) after each atom.
Fractional coordinates of all 9 atoms:
Al1 0.2046 0.2046 0.2312  4 Cl 2.17-2.34
Al2 0.7954 0.7954 0.7688  4 Cl 2.17-2.34
Ag1 0.5000 0.5000 0.5000  6 Cl 2.73-2.86
Cl1 0.1313 0.1313 0.4129  1 Al 2.20
Cl2 0.3398 0.3398 0.8609  2 Al 2.34
Cl3 0.3788 0.3788 0.2679  1 Al 2.17
Cl4 0.6212 0.6212 0.7321  1 Al 2.17
Cl5 0.6602 0.6602 0.1391  2 Al 2.34
Cl6 0.8687 0.8687 0.5871  1 Al 2.20

**E**: -3.427 eV/atom

(7)
## AlAgCl5 (PBE)

Data for AlAgCl5 after structural relaxation.

Cell lengths 7.1777, 7.1777, 8.8676 Å; angles 103.92, 103.92, 95.49 degrees
With the nearest neighbours (Å) after each atom.
Fractional coordinates of all 14 atoms:
Al1 0.1824 0.8176 0.7500  4 Cl 2.13-2.21
Al2 0.8176 0.1824 0.2500  4 Cl 2.13-2.21
Ag1 0.5000 0.5000 0.0000  4 Cl 2.44-2.53
Ag2 0.5000 0.5000 0.5000  4 Cl 2.44-2.53
Cl1 0.0863 0.2368 0.4313  1 Al 2.13
Cl2 0.1756 0.5723 0.8595  1 Al 2.21
Cl3 0.2368 0.0863 0.9313  1 Al 2.13
Cl4 0.4036 0.5964 0.2500  2 Ag 2.44
Cl5 0.4277 0.8244 0.6405  1 Al 2.21
Cl6 0.5723 0.1756 0.3595  1 Al 2.21
Cl7 0.5964 0.4036 0.7500  2 Ag 2.44
Cl8 0.7632 0.9137 0.0687  1 Al 2.13
Cl9 0.8244 0.4277 0.1405  1 Al 2.21
Cl10 0.9137 0.7632 0.5687  1 Al 2.13

**E**: -3.266 eV/atom

(8)
## Al2AgCl2 (PBE)

Data for Al2AgCl2 after structural relaxation.

Cell lengths 6.6366, 6.6366, 6.6366 Å; angles 142.69, 142.69, 53.80 degrees
With the nearest neighbours (Å) after each atom.
Fractional coordinates of all 5 atoms:
Al1 0.1117 0.1117 0.0000  1 Al 2.65, 4 Cl 2.68
Al2 0.8883 0.8883 0.0000  1 Al 2.65, 4 Cl 2.68
Ag1 0.5000 0.5000 0.0000  8 Al 3.28, 8 Cl 3.64
Cl1 0.2500 0.7500 0.5000  4 Al 2.68
Cl2 0.7500 0.2500 0.5000  4 Al 2.68

**ΔE to the lowest computed polymorph**: 311 meV per atom

(9)
## AlAg2Cl (PBE)

Data for AlAg2Cl after structural relaxation.

Cell lengths 2.9715, 5.1683, 5.1057 Å; angles 90.00, 90.11, 90.00 degrees
With the nearest neighbours (Å) after each atom.
Fractional coordinates of all 4 atoms:
Al1 0.0000 0.0000 0.0000  2 Cl 2.58
Ag1 0.4997 0.0000 0.5004  4 Al 2.95-2.96, 6 Ag 2.97-2.98
Ag2 0.9991 0.5000 0.5010  2 Cl 2.55
Cl1 0.9969 0.5000 0.0010  2 Ag 2.55, 2 Al 2.58

**ΔE to the lowest computed polymorph**: 179 meV per atom

(10)
## AlAg2Cl5 (PBE)

Data for AlAg2Cl5 after structural relaxation.

Cell lengths 10.1318, 10.1318, 13.2539 Å; angles 109.94, 109.94, 52.16 degrees
With the nearest neighbours (Å) after each atom.
Fractional coordinates of all 32 atoms:
Al1 0.0457 0.2883 0.3078  4 Cl 2.13-2.19
Al2 0.2883 0.0457 0.8078  4 Cl 2.13-2.19
Al3 0.7117 0.9543 0.1922  4 Cl 2.13-2.19
Al4 0.9543 0.7117 0.6922  4 Cl 2.13-2.19
Ag1 0.1661 0.6482 0.2207  2 Cl 2.50-2.51
Ag2 0.3232 0.6580 0.5860  4 Cl 2.60-2.69
Ag3 0.3420 0.6768 0.9140  4 Cl 2.60-2.69
Ag4 0.3518 0.8339 0.2793  2 Cl 2.50-2.51
Ag5 0.6482 0.1661 0.7207  2 Cl 2.50-2.51
Ag6 0.6580 0.3232 0.0860  4 Cl 2.60-2.69
Ag7 0.6768 0.3420 0.4140  4 Cl 2.60-2.69
Ag8 0.8339 0.3518 0.7793  2 Cl 2.50-2.51
Cl1 0.0157 0.8514 0.8457  1 Al 2.19
Cl2 0.1049 0.2364 0.9164  1 Al 2.19
Cl3 0.1462 0.4046 0.2816  1 Al 2.13
Cl4 0.1486 0.9843 0.6543  1 Al 2.19
Cl5 0.1805 0.5276 0.6198  1 Al 2.16
Cl6 0.2364 0.1049 0.4164  1 Al 2.19
Cl7 0.3728 0.6241 0.1067  3 Ag 2.50-2.66
Cl8 0.3759 0.6272 0.3933  3 Ag 2.50-2.66
Cl9 0.4046 0.1462 0.7816  1 Al 2.13
Cl10 0.4724 0.8195 0.8802  1 Al 2.16
Cl11 0.5276 0.1805 0.1198  1 Al 2.16
Cl12 0.5954 0.8538 0.2184  1 Al 2.13
Cl13 0.6241 0.3728 0.6067  3 Ag 2.50-2.66
Cl14 0.6272 0.3759 0.8933  3 Ag 2.50-2.66
Cl15 0.7636 0.8951 0.5836  1 Al 2.19
Cl16 0.8195 0.4724 0.3802  1 Al 2.16
Cl17 0.8514 0.0157 0.3457  1 Al 2.19
Cl18 0.8538 0.5954 0.7184  1 Al 2.13
Cl19 0.8951 0.7636 0.0836  1 Al 2.19
Cl20 0.9843 0.1486 0.1543  1 Al 2.19

**ΔE to the lowest computed polymorph**: 0 meV per atom

(11)
## AlAg2Cl (PBE)

Data for AlAg2Cl after structural relaxation.

Cell lengths 5.7236, 5.7236, 5.7236 Å; angles 139.09, 139.09, 59.24 degrees
With the nearest neighbours (Å) after each atom.
Fractional coordinates of all 4 atoms:
Al1 0.0000 0.0000 0.0000  4 Cl 2.83
Ag1 0.2500 0.7500 0.5000  4 Ag 2.83
Ag2 0.7500 0.2500 0.5000  4 Ag 2.83
Cl1 0.5000 0.5000 0.0000  4 Al 2.83

**ΔE to the lowest computed polymorph**: 314 meV per atom

(12)
## AlAg2Cl (PBE)

Data for AlAg2Cl after structural relaxation.

Cell lengths 8.1468, 8.1468, 8.1468 Å; angles 23.70, 23.70, 23.70 degrees
With the nearest neighbours (Å) after each atom.
Fractional coordinates of all 4 atoms:
Al1 0.0000 0.0000 0.0000  6 Ag 2.71
Ag1 0.2531 0.2531 0.2531  3 Al 2.71, 3 Cl 2.82
Ag2 0.7469 0.7469 0.7469  3 Al 2.71, 3 Cl 2.82
Cl1 0.5000 0.5000 0.5000  6 Ag 2.82

**ΔE to the lowest computed polymorph**: 65 meV per atom

(13)
## Cs2AlAgCl6 (PBE)

Data for Cs2AlAgCl6 after structural relaxation.

Cell lengths 7.3687, 7.3687, 6.7179 Å; angles 90.00, 90.00, 120.00 degrees
With the nearest neighbours (Å) after each atom.
Fractional coordinates of all 10 atoms:
Cs1 0.3333 0.6667 0.2814  9 Cl 3.67-3.69
Cs2 0.6667 0.3333 0.7186  9 Cl 3.67-3.69
Al1 0.0000 0.0000 0.5000  6 Cl 2.37
Ag1 0.0000 0.0000 0.0000  6 Cl 2.77
Cl1 0.1511 0.3021 0.7041  1 Al 2.37
Cl2 0.1511 0.8489 0.7041  1 Al 2.37
Cl3 0.3021 0.1511 0.2959  1 Al 2.37
Cl4 0.6979 0.8489 0.7041  1 Al 2.37
Cl5 0.8489 0.1511 0.2959  1 Al 2.37
Cl6 0.8489 0.6979 0.2959  1 Al 2.37

**E**: -3.474 eV/atom

(14)
## Cs2AlAgCl6 (PBE)

Data for Cs2AlAgCl6 after structural relaxation.

Cell lengths 7.3220, 7.3220, 7.3220 Å; angles 60.00, 60.00, 60.00 degrees
With the nearest neighbours (Å) after each atom.
Fractional coordinates of all 10 atoms:
Cs1 0.2500 0.2500 0.2500  12 Cl 3.67
Cs2 0.7500 0.7500 0.7500  12 Cl 3.67
Al1 0.0000 0.0000 0.0000  6 Cl 2.37
Ag1 0.5000 0.5000 0.5000  6 Cl 2.81
Cl1 0.2291 0.2291 0.7709  1 Al 2.37
Cl2 0.2291 0.7709 0.2291  1 Al 2.37
Cl3 0.2291 0.7709 0.7709  1 Al 2.37
Cl4 0.7709 0.2291 0.2291  1 Al 2.37
Cl5 0.7709 0.2291 0.7709  1 Al 2.37
Cl6 0.7709 0.7709 0.2291  1 Al 2.37

**E**: -3.456 eV/atom

(15)
## CsAl2AgCl8 (PBE)

Data for CsAl2AgCl8 after structural relaxation.

Cell lengths 6.6108, 6.6108, 9.8652 Å; angles 90.00, 90.00, 120.00 degrees
With the nearest neighbours (Å) after each atom.
Fractional coordinates of all 12 atoms:
Cs1 0.0000 0.0000 0.0000  12 Cl 3.84-3.91
Al1 0.3333 0.6667 0.7406  4 Cl 2.16
Al2 0.6667 0.3333 0.2594  4 Cl 2.16
Ag1 0.0000 0.0000 0.5000  6 Cl 2.81
Cl1 0.0274 0.3489 0.6743  1 Al 2.16
Cl2 0.3215 0.9726 0.6743  1 Al 2.16
Cl3 0.3333 0.6667 0.9598  1 Al 2.16
Cl4 0.3489 0.3215 0.3257  1 Al 2.16
Cl5 0.6511 0.6785 0.6743  1 Al 2.16
Cl6 0.6667 0.3333 0.0402  1 Al 2.16
Cl7 0.6785 0.0274 0.3257  1 Al 2.16
Cl8 0.9726 0.6511 0.3257  1 Al 2.16

**E**: -3.659 eV/atom

(16)
## AlAg3Cl2F6 (PBE)

Data for AlAg3Cl2F6 after structural relaxation.

Cell lengths 6.7756, 6.7756, 5.1332 Å; angles 92.71, 92.71, 55.39 degrees
With the nearest neighbours (Å) after each atom.
Fractional coordinates of all 12 atoms:
Al1 0.0000 0.0000 0.0000  6 F 1.80-1.87
Ag1 0.0000 0.5000 0.0000  4 F 2.39-2.47, 2 Cl 2.46
Ag2 0.5000 0.0000 0.0000  4 F 2.39-2.47, 2 Cl 2.46
Ag3 0.5000 0.5000 0.5000  2 Cl 2.44, 4 F 2.49
Cl1 0.3140 0.3140 0.6710  3 Ag 2.44-2.46
Cl2 0.6860 0.6860 0.3290  3 Ag 2.44-2.46
F1 0.1249 0.1249 0.2113  1 Al 1.80
F2 0.1476 0.7207 0.1945  1 Al 1.87
F3 0.2793 0.8524 0.8055  1 Al 1.87
F4 0.7207 0.1476 0.1945  1 Al 1.87
F5 0.8524 0.2793 0.8055  1 Al 1.87
F6 0.8751 0.8751 0.7887  1 Al 1.80

**E**: -3.951 eV/atom

(17)
## AlFeAg2Cl (PBE)

Data for AlFeAg2Cl after structural relaxation.

Cell lengths 4.9540, 4.9540, 4.8446 Å; angles 90.00, 90.00, 90.00 degrees
With the nearest neighbours (Å) after each atom.
Fractional coordinates of all 5 atoms:
Al1 0.0000 0.0000 0.0000  2 Fe 2.42
Fe1 0.0000 0.0000 0.5000  2 Al 2.42, 4 Ag 2.48
Ag1 0.0000 0.5000 0.5000  2 Fe 2.48
Ag2 0.5000 0.0000 0.5000  2 Fe 2.48
Cl1 0.5000 0.5000 0.0000  8 Ag 3.46, 4 Al 3.50

**E**: -3.243 eV/atom

(18)
## AlAgGeCl2 (PBE)

Data for AlAgGeCl2 after structural relaxation.

Cell lengths 4.9201, 4.9201, 5.4991 Å; angles 90.00, 90.00, 90.00 degrees
With the nearest neighbours (Å) after each atom.
Fractional coordinates of all 5 atoms:
Al1 0.0000 0.0000 0.0000  2 Ag 2.75
Ag1 0.0000 0.0000 0.5000  4 Cl 2.46, 2 Al 2.75
Ge1 0.5000 0.5000 0.0000  4 Al 3.48, 8 Cl 3.69
Cl1 0.0000 0.5000 0.5000  2 Ag 2.46
Cl2 0.5000 0.0000 0.5000  2 Ag 2.46

**E**: -2.655 eV/atom

(19)
## K2AlAgCl6 (PBE)

Data for K2AlAgCl6 after structural relaxation.

Cell lengths 7.0170, 7.0170, 6.7680 Å; angles 90.00, 90.00, 120.00 degrees
With the nearest neighbours (Å) after each atom.
Fractional coordinates of all 10 atoms:
K1 0.3333 0.6667 0.1665  9 Cl 3.29-3.52
K2 0.6667 0.3333 0.8335  9 Cl 3.29-3.52
Al1 0.0000 0.0000 0.0000  6 Cl 2.36
Ag1 0.0000 0.0000 0.5000  6 Cl 2.77
Cl1 0.1574 0.3148 0.7970  1 Al 2.36
Cl2 0.1574 0.8426 0.7970  1 Al 2.36
Cl3 0.3148 0.1574 0.2030  1 Al 2.36
Cl4 0.6852 0.8426 0.7970  1 Al 2.36
Cl5 0.8426 0.1574 0.2030  1 Al 2.36
Cl6 0.8426 0.6852 0.2030  1 Al 2.36

**ΔE to the lowest computed polymorph**: 0 meV per atom

(20)
## KAl2AgCl8 (PBE)

Data for KAl2AgCl8 after structural relaxation.

Cell lengths 10.1335, 10.1335, 10.1335 Å; angles 37.26, 37.26, 37.26 degrees
With the nearest neighbours (Å) after each atom.
Fractional coordinates of all 12 atoms:
K1 0.0000 0.0000 0.0000  12 Cl 3.71-3.74
Al1 0.2496 0.2496 0.2496  4 Cl 2.16
Al2 0.7504 0.7504 0.7504  4 Cl 2.16
Ag1 0.5000 0.5000 0.5000  6 Cl 2.83
Cl1 0.0853 0.4494 0.7868  1 Al 2.16
Cl2 0.2132 0.9147 0.5506  1 Al 2.16
Cl3 0.3259 0.3259 0.3259  1 Al 2.16
Cl4 0.4494 0.7868 0.0853  1 Al 2.16
Cl5 0.5506 0.2132 0.9147  1 Al 2.16
Cl6 0.6741 0.6741 0.6741  1 Al 2.16
Cl7 0.7868 0.0853 0.4494  1 Al 2.16
Cl8 0.9147 0.5506 0.2132  1 Al 2.16

**E**: -3.644 eV/atom

Number 1: V 19.8 Å³ per atom. Number 2: V 31.9 Å³ per atom. Number 3: V 21.3 Å³ per atom. Number 4: V 22.8 Å³ per atom. Number 5: V 19.3 Å³ per atom. Number 6: V 30.2 Å³ per atom. Number 7: V 30.3 Å³ per atom. Number 8: V 21.3 Å³ per atom. Number 9: V 19.6 Å³ per atom. Number 10: V 31.1 Å³ per atom. Number 11: V 19.9 Å³ per atom. Number 12: V 19.2 Å³ per atom. Number 13: V 31.6 Å³ per atom. Number 14: V 27.8 Å³ per atom. Number 15: V 31.1 Å³ per atom. Number 16: V 16.1 Å³ per atom. Number 17: V 23.8 Å³ per atom. Number 18: V 26.6 Å³ per atom. Number 19: V 28.9 Å³ per atom. Number 20: V 28.5 Å³ per atom.